# 1
This record from the Alexandria database describes a relaxed structure of Ce3GaRh. The functional is GGA-PBE.

a b c (Å): 5.331 7.088 6.386
angles (deg): 90.00 90.00 97.10
Atoms (fractional coordinates):
Ce 0.843 0.141 0.973
Ce 0.157 0.859 0.473
Ce 0.656 0.609 0.750
Ce 0.344 0.391 0.250
Ce 0.157 0.859 0.027
Ce 0.843 0.141 0.527
Ga 0.646 0.790 0.250
Ga 0.354 0.210 0.750
Rh 0.854 0.468 0.250
Rh 0.146 0.532 0.750

## Properties
SG ... P2_1/m, No. 11
M_tot ... 1.676 μB per cell
Energy of formation from the pure elements ... -11.3 kcal/mol of atoms
Raw total energy ... -61.27 eV per cell
Offset from the most stable computed form ... 0.000 eV per atom


# 2
This record from the Alexandria database describes a relaxed structure of Ce2Ga12Rh. The functional is GGA-PBE.

a b c (Å): 6.085 6.085 15.576
angles (deg): 90.00 90.00 90.00
Atoms (fractional coordinates):
Ce 0.500 0.000 0.241
Ce 0.000 0.500 0.241
Ce 0.000 0.500 0.759
Ce 0.500 0.000 0.759
Ga 0.500 0.500 0.812
Ga 0.000 0.000 0.812
Ga 0.750 0.750 0.912
Ga 0.250 0.750 0.912
Ga 0.000 0.000 0.344
Ga 0.250 0.750 0.088
Ga 0.830 0.330 0.570
Ga 0.500 0.500 0.344
Ga 0.250 0.250 0.912
Ga 0.750 0.750 0.088
Ga 0.330 0.170 0.570
Ga 0.670 0.170 0.430
Ga 0.000 0.000 0.656
Ga 0.170 0.330 0.430
Ga 0.250 0.250 0.088
Ga 0.830 0.670 0.430
Ga 0.670 0.830 0.570
Ga 0.000 0.000 0.188
Ga 0.170 0.670 0.570
Ga 0.500 0.500 0.656
Ga 0.750 0.250 0.912
Ga 0.500 0.500 0.188
Ga 0.330 0.830 0.430
Ga 0.750 0.250 0.088
Rh 0.500 0.000 0.000
Rh 0.000 0.500 0.000

## Properties
SG ... P4/nbm, No. 125
M_tot ... 1.898 μB per cell
Energy of formation from the pure elements ... -10.1 kcal/mol of atoms
Raw total energy ... -124.24 eV per cell


# 3
This record from the Alexandria database describes a relaxed structure of Ce8Ga2Rh3. The functional is GGA-PBE.

a b c (Å): 5.416 8.759 8.102
angles (deg): 122.72 100.37 90.00
Atoms (fractional coordinates):
Ce 0.895 0.667 0.335
Ce 0.105 0.333 0.665
Ce 0.978 0.106 0.211
Ce 0.022 0.894 0.789
Ce 0.525 0.594 0.794
Ce 0.525 0.200 0.794
Ce 0.475 0.800 0.206
Ce 0.475 0.406 0.206
Ga 0.541 0.213 0.425
Ga 0.459 0.787 0.575
Rh 0.500 0.000 0.000
Rh 0.000 0.328 0.000
Rh 0.000 0.672 0.000

## Properties
SG ... C2/m, No. 12
M_tot ... 1.973 μB per cell
Energy of formation from the pure elements ... -8.4 kcal/mol of atoms
Raw total energy ... -80.30 eV per cell


# 4
This record from the Alexandria database describes a relaxed structure of Ce5GaRh5. The functional is GGA-PBE.

a b c (Å): 5.363 6.471 8.662
angles (deg): 109.31 90.00 114.48
Atoms (fractional coordinates):
Ce 0.669 0.338 0.324
Ce 0.678 0.357 0.847
Ce 0.000 0.000 0.500
Ce 0.322 0.643 0.153
Ce 0.331 0.662 0.676
Ga 0.000 0.000 0.000
Rh 0.870 0.740 0.181
Rh 0.859 0.718 0.685
Rh 0.500 0.000 0.000
Rh 0.141 0.282 0.315
Rh 0.130 0.260 0.819

## Properties
SG ... C2/m, No. 12
M_tot ... 1.742 μB per cell
Energy of formation from the pure elements ... -13.2 kcal/mol of atoms
Raw total energy ... -75.76 eV per cell


# 5
This record from the Alexandria database describes a relaxed structure of CeGa6Rh4. The functional is GGA-PBE.

a b c (Å): 3.909 7.373 7.373
angles (deg): 120.00 90.00 90.00
Atoms (fractional coordinates):
Ce 0.000 0.000 0.000
Ga 0.000 0.533 0.066
Ga 0.500 0.608 0.804
Ga 0.000 0.533 0.467
Ga 0.000 0.934 0.467
Ga 0.500 0.196 0.804
Ga 0.500 0.196 0.392
Rh 0.500 0.798 0.595
Rh 0.500 0.405 0.202
Rh 0.500 0.798 0.202
Rh 0.000 0.333 0.667

## Properties
SG ... P-6m2, No. 187
M_tot ... 0.317 μB per cell
Energy of formation from the pure elements ... -14.6 kcal/mol of atoms
Raw total energy ... -60.45 eV per cell


# 6
This record from the Alexandria database describes a relaxed structure of CeGa2Rh2. The functional is GGA-PBE.

a b c (Å): 4.227 4.227 10.833
angles (deg): 101.25 101.25 90.00
Atoms (fractional coordinates):
Ce 0.632 0.632 0.264
Ce 0.368 0.368 0.736
Ga 0.000 0.500 0.000
Ga 0.187 0.187 0.374
Ga 0.500 0.000 0.000
Ga 0.813 0.813 0.626
Rh 0.750 0.250 0.500
Rh 0.932 0.932 0.863
Rh 0.068 0.068 0.137
Rh 0.250 0.750 0.500

## Properties
SG ... I4/mmm, No. 139
M_tot ... 1.659 μB per cell
Energy of formation from the pure elements ... -17.7 kcal/mol of atoms
Raw total energy ... -61.04 eV per cell


# 7
This record from the Alexandria database describes a relaxed structure of Ce12GaRh6. The functional is GGA-PBE.

a b c (Å): 8.109 8.109 8.109
angles (deg): 97.15 97.15 97.15
Atoms (fractional coordinates):
Ce 0.813 0.591 0.426
Ce 0.426 0.813 0.591
Ce 0.591 0.426 0.813
Ce 0.187 0.409 0.574
Ce 0.574 0.187 0.409
Ce 0.409 0.574 0.187
Ce 0.064 0.967 0.350
Ce 0.033 0.650 0.936
Ce 0.650 0.936 0.033
Ce 0.936 0.033 0.650
Ce 0.967 0.350 0.064
Ce 0.350 0.064 0.967
Ga 0.000 0.000 0.000
Rh 0.670 0.872 0.367
Rh 0.633 0.330 0.128
Rh 0.128 0.633 0.330
Rh 0.330 0.128 0.633
Rh 0.367 0.670 0.872
Rh 0.872 0.367 0.670

## Properties
SG ... R-3, No. 148
M_tot ... 7.753 μB per cell
Energy of formation from the pure elements ... -7.7 kcal/mol of atoms
Raw total energy ... -124.66 eV per cell


# 8
This record from the Alexandria database describes a relaxed structure of Ce2Ga3Rh4. The functional is GGA-PBE.

a b c (Å): 5.781 6.919 8.507
angles (deg): 90.00 109.86 90.00
Atoms (fractional coordinates):
Ce 0.108 0.583 0.216
Ce 0.892 0.417 0.784
Ce 0.392 0.083 0.784
Ce 0.608 0.917 0.216
Ga 0.000 0.000 0.000
Ga 0.500 0.500 0.000
Ga 0.519 0.750 0.539
Ga 0.981 0.250 0.461
Ga 0.481 0.250 0.461
Ga 0.019 0.750 0.539
Rh 0.678 0.750 0.857
Rh 0.822 0.250 0.143
Rh 0.322 0.250 0.143
Rh 0.178 0.750 0.857
Rh 0.171 0.962 0.342
Rh 0.829 0.038 0.658
Rh 0.329 0.462 0.658
Rh 0.671 0.538 0.342

## Properties
SG ... Cmce, No. 64
M_tot ... 0.086 μB per cell
Energy of formation from the pure elements ... -19.5 kcal/mol of atoms
Raw total energy ... -115.96 eV per cell